[1]
# MgSnGeHCO, optimized geometry, DFT PBE-GGA
data_MgSnGeHCO
_chemical_formula_sum 'Mg2 Sn2 Ge2 H2 C2 O2'
_space_group_name_H-M_alt 'C 1 m 1'
_space_group_IT_number 8
_cell_length_a 9.5554
_cell_length_b 3.3222
_cell_length_c 7.1611
_cell_angle_alpha 90.00
_cell_angle_beta 124.06
_cell_angle_gamma 90.00
loop_
_space_group_symop_operation_xyz
'x,y,z'
'x,-y,z'
'x+1/2,y+1/2,z'
'x+1/2,-y+1/2,z'
loop_
_atom_site_label
_atom_site_type_symbol
_atom_site_fract_x
_atom_site_fract_y
_atom_site_fract_z
Mg1 Mg 0.0000 0.0000 0.0000
Sn1 Sn 0.3929 0.0000 0.3580
Ge1 Ge 0.1714 0.0000 0.7990
H1 H 0.2447 0.5000 0.5644
C1 C 0.1759 0.5000 0.6478
O1 O 0.4262 0.0000 0.0699
# density of states at the Fermi level: 4.8 states/eV/cell
# total DFT energy (no corrections): -5.02 eV/atom
# excess energy over the best structure of this formula in the dataset: 0.0000 eV per atom
# magnetic moment: 0.00 μB/atom



[2]
# MgSnGeHCO, optimized geometry, DFT PBE-GGA
data_MgSnGeHCO
_chemical_formula_sum 'Mg2 Sn2 Ge2 H2 C2 O2'
_space_group_name_H-M_alt 'C 1 m 1'
_space_group_IT_number 8
_cell_length_a 11.8269
_cell_length_b 3.2153
_cell_length_c 5.0667
_cell_angle_alpha 90.00
_cell_angle_beta 93.72
_cell_angle_gamma 90.00
loop_
_space_group_symop_operation_xyz
'x,y,z'
'x,-y,z'
'x+1/2,y+1/2,z'
'x+1/2,-y+1/2,z'
loop_
_atom_site_label
_atom_site_type_symbol
_atom_site_fract_x
_atom_site_fract_y
_atom_site_fract_z
Mg1 Mg 0.0000 0.0000 0.0000
Sn1 Sn 0.3823 0.0000 0.5139
Ge1 Ge 0.1384 0.0000 0.4685
H1 H 0.1270 0.5000 0.8890
C1 C 0.0958 0.5000 0.6761
O1 O 0.4259 0.0000 0.1241
# density of states at the Fermi level: 0.8 states/eV/cell
# total DFT energy (no corrections): -4.95 eV/atom
# excess energy over the best structure of this formula in the dataset: 0.0786 eV per atom
# magnetic moment: 0.00 μB/atom



[3]
# MgSnGeHCO, optimized geometry, DFT PBE-GGA
data_MgSnGeHCO
_chemical_formula_sum 'Mg2 Sn2 Ge2 H2 C2 O2'
_space_group_name_H-M_alt 'C 1 m 1'
_space_group_IT_number 8
_cell_length_a 11.0906
_cell_length_b 3.2908
_cell_length_c 5.6267
_cell_angle_alpha 90.00
_cell_angle_beta 119.97
_cell_angle_gamma 90.00
loop_
_space_group_symop_operation_xyz
'x,y,z'
'x,-y,z'
'x+1/2,y+1/2,z'
'x+1/2,-y+1/2,z'
loop_
_atom_site_label
_atom_site_type_symbol
_atom_site_fract_x
_atom_site_fract_y
_atom_site_fract_z
Mg1 Mg 0.0000 0.0000 0.0000
Sn1 Sn 0.1248 0.0000 0.6378
Ge1 Ge 0.3137 0.0000 0.2300
H1 H 0.3231 0.5000 0.5697
C1 C 0.3840 0.5000 0.4618
O1 O 0.4224 0.0000 0.0545
# density of states at the Fermi level: 1.8 states/eV/cell
# total DFT energy (no corrections): -5.02 eV/atom
# excess energy over the best structure of this formula in the dataset: 0.0044 eV per atom
# magnetic moment: 0.00 μB/atom



[4]
# MgSnGeHCO, optimized geometry, DFT PBE-GGA
data_MgSnGeHCO
_chemical_formula_sum 'Mg2 Sn2 Ge2 H2 C2 O2'
_space_group_name_H-M_alt 'C 1 m 1'
_space_group_IT_number 8
_cell_length_a 9.1888
_cell_length_b 3.3260
_cell_length_c 7.0055
_cell_angle_alpha 90.00
_cell_angle_beta 119.66
_cell_angle_gamma 90.00
loop_
_space_group_symop_operation_xyz
'x,y,z'
'x,-y,z'
'x+1/2,y+1/2,z'
'x+1/2,-y+1/2,z'
loop_
_atom_site_label
_atom_site_type_symbol
_atom_site_fract_x
_atom_site_fract_y
_atom_site_fract_z
Mg1 Mg 0.0000 0.0000 0.0000
Sn1 Sn 0.0017 0.5000 0.6403
Ge1 Ge 0.1626 0.5000 0.4014
H1 H 0.3430 0.0000 0.1548
C1 C 0.2418 0.0000 0.3326
O1 O 0.4255 0.0000 0.0959
# density of states at the Fermi level: 3.2 states/eV/cell
# total DFT energy (no corrections): -4.93 eV/atom
# excess energy over the best structure of this formula in the dataset: 0.0914 eV per atom
# magnetic moment: 0.00 μB/atom



- Which of these has the lowest density of states at the Fermi level?
  number 2